(1)
This record from the Alexandria database describes a relaxed structure of SiNi2Pt. The functional is PBE.

Summary:
Total DFT energy (no corrections): -6.133 eV per atom
Crystal system: monoclinic
Spin magnetization: 0.000 μB/f.u.
SG: Cm (8)
Formation energy from raw total energies: -0.376 eV/atom
V: 49.9 Å³/cell

a b c (Å): 4.7010 4.7010 4.3473
angles (deg): 68.71 68.71 34.18
Closest atoms and distances in Å follow each position.
Fractional positions:
Ni 0.0300 0.0300 0.0256  2 Si 2.31, 1 Ni 2.53
Ni 0.2635 0.2635 0.2157  2 Si 2.42, 3 Ni 2.53-2.61
Pt 0.4737 0.4737 0.5657  3 Si 2.45-2.59, 5 Ni 2.60-2.74
Si 0.7329 0.7329 0.6930  4 Ni 2.31-2.42, 2 Pt 2.45


(2)
This record from the Alexandria database describes a relaxed structure of U2TiSe6. The functional is PBE.

Summary:
Total DFT energy (no corrections): -6.685 eV per atom
Crystal system: tetragonal
Energy above the most stable polymorph in this dataset: 120 meV/atom
Spin magnetization: 3.999 μB/f.u.
SG: P4_2/mnm (136)
Formation energy from raw total energies: -0.976 eV/atom
V: 509.4 Å³/cell

a b c (Å): 6.5207 6.5207 11.9812
angles (deg): 90.00 90.00 90.00
Closest atoms and distances in Å follow each position.
Fractional positions:
U 0.5000 0.5000 0.3281  6 Se 2.78-2.82
U 0.5000 0.5000 0.6719  6 Se 2.78-2.82
U 0.0000 0.0000 0.1719  6 Se 2.78-2.82
U 0.0000 0.0000 0.8281  6 Se 2.78-2.82
Ti 0.5000 0.5000 0.0000  6 Se 2.55-2.71
Ti 0.0000 0.0000 0.5000  6 Se 2.55-2.71
Se 0.6951 0.6951 0.1513  1 Ti 2.55, 2 U 2.78-2.82
Se 0.6951 0.6951 0.8487  1 Ti 2.55, 2 U 2.78-2.82
Se 0.7058 0.7058 0.5000  1 Ti 2.71, 2 U 2.80
Se 0.7942 0.2058 0.0000  1 Ti 2.71, 2 U 2.80
Se 0.8049 0.1951 0.3487  1 Ti 2.55, 2 U 2.78-2.82
Se 0.8049 0.1951 0.6513  1 Ti 2.55, 2 U 2.78-2.82
Se 0.1951 0.8049 0.3487  1 Ti 2.55, 2 U 2.78-2.82
Se 0.1951 0.8049 0.6513  1 Ti 2.55, 2 U 2.78-2.82
Se 0.2058 0.7942 0.0000  1 Ti 2.71, 2 U 2.80
Se 0.2942 0.2942 0.5000  1 Ti 2.71, 2 U 2.80
Se 0.3049 0.3049 0.1513  1 Ti 2.55, 2 U 2.78-2.82
Se 0.3049 0.3049 0.8487  1 Ti 2.55, 2 U 2.78-2.82


(3)
This record from the Alexandria database describes a relaxed structure of K5MnS5. The functional is PBE.

Summary:
Total DFT energy (no corrections): -3.941 eV per atom
Crystal system: monoclinic
Spin magnetization: 3.928 μB/f.u.
SG: C2/m (12)
Formation energy from raw total energies: -0.733 eV/atom
V: 339.4 Å³/cell

a b c (Å): 6.1282 7.6876 8.3438
angles (deg): 108.03 90.00 113.49
Closest atoms and distances in Å follow each position.
Fractional positions:
K 0.6936 0.3872 0.3026  4 S 3.03-3.37
K 0.6658 0.3316 0.8434  5 S 3.04-3.29
K 0.0000 0.0000 0.5000  4 S 3.00-3.11
K 0.3342 0.6684 0.1566  5 S 3.04-3.29
K 0.3064 0.6128 0.6974  4 S 3.03-3.37
Mn 0.0000 0.0000 0.0000  4 S 2.32-2.36
S 0.8775 0.7549 0.1282  1 Mn 2.32
S 0.8690 0.7380 0.7337  1 Mn 2.36
S 0.5000 0.0000 0.0000  4 K 3.03-3.04, 2 Mn 3.06
S 0.1310 0.2620 0.2663  1 Mn 2.36
S 0.1225 0.2451 0.8718  1 Mn 2.32


(4)
This record from the Alexandria database describes a relaxed structure of Li3CoN2. The functional is PBE.

Summary:
Total DFT energy (no corrections): -5.189 eV per atom
Crystal system: cubic
Energy above the most stable polymorph in this dataset: 36 meV/atom
Spin magnetization: 0.000 μB/f.u.
SG: Ia-3 (206)
Formation energy from raw total energies: -0.272 eV/atom
V: 419.8 Å³/cell

a b c (Å): 8.1700 8.1700 8.1700
angles (deg): 109.47 109.47 109.47
Closest atoms and distances in Å follow each position.
Fractional positions:
Li 0.5150 0.4799 0.2585  4 N 2.02-2.21
Li 0.7785 0.0201 0.5351  4 N 2.02-2.21
Li 0.7215 0.2566 0.2415  4 N 2.02-2.21
Li 0.9850 0.2434 0.9649  4 N 2.02-2.21
Li 0.5351 0.7785 0.0201  4 N 2.02-2.21
Li 0.2585 0.5150 0.4799  4 N 2.02-2.21
Li 0.9649 0.9850 0.2434  4 N 2.02-2.21
Li 0.2415 0.7215 0.2566  4 N 2.02-2.21
Li 0.2566 0.2415 0.7215  4 N 2.02-2.21
Li 0.2434 0.9649 0.9850  4 N 2.02-2.21
Li 0.4799 0.2585 0.5150  4 N 2.02-2.21
Li 0.0201 0.5351 0.7785  4 N 2.02-2.21
Li 0.4850 0.5201 0.7415  4 N 2.02-2.21
Li 0.2215 0.9799 0.4649  4 N 2.02-2.21
Li 0.2785 0.7434 0.7585  4 N 2.02-2.21
Li 0.0150 0.7566 0.0351  4 N 2.02-2.21
Li 0.4649 0.2215 0.9799  4 N 2.02-2.21
Li 0.7415 0.4850 0.5201  4 N 2.02-2.21
Li 0.0351 0.0150 0.7566  4 N 2.02-2.21
Li 0.7585 0.2785 0.7434  4 N 2.02-2.21
Li 0.7434 0.7585 0.2785  4 N 2.02-2.21
Li 0.7566 0.0351 0.0150  4 N 2.02-2.21
Li 0.5201 0.7415 0.4850  4 N 2.02-2.21
Li 0.9799 0.4649 0.2215  4 N 2.02-2.21
Co 0.2251 0.2251 0.2251  4 N 1.84-1.94
Co 0.0000 0.2749 0.5000  4 N 1.84-1.94
Co 0.5000 0.0000 0.2749  4 N 1.84-1.94
Co 0.2749 0.5000 0.0000  4 N 1.84-1.94
Co 0.7749 0.7749 0.7749  4 N 1.84-1.94
Co 0.0000 0.7251 0.5000  4 N 1.84-1.94
Co 0.5000 0.0000 0.7251  4 N 1.84-1.94
Co 0.7251 0.5000 0.0000  4 N 1.84-1.94
N 0.0000 0.0000 0.0000  2 Co 1.84
N 0.0000 0.5000 0.5000  2 Co 1.84
N 0.5000 0.0000 0.5000  2 Co 1.84
N 0.5000 0.5000 0.0000  2 Co 1.84
N 0.2172 0.2500 0.4672  2 Co 1.94, 4 Li 2.02-2.04
N 0.2828 0.7500 0.0328  2 Co 1.94, 4 Li 2.02-2.04
N 0.4672 0.2172 0.2500  2 Co 1.94, 4 Li 2.02-2.04
N 0.0328 0.2828 0.7500  2 Co 1.94, 4 Li 2.02-2.04
N 0.7500 0.0328 0.2828  2 Co 1.94, 4 Li 2.02-2.04
N 0.2500 0.4672 0.2172  2 Co 1.94, 4 Li 2.02-2.04
N 0.7828 0.7500 0.5328  2 Co 1.94, 4 Li 2.02-2.04
N 0.7172 0.2500 0.9672  2 Co 1.94, 4 Li 2.02-2.04
N 0.5328 0.7828 0.7500  2 Co 1.94, 4 Li 2.02-2.04
N 0.9672 0.7172 0.2500  2 Co 1.94, 4 Li 2.02-2.04
N 0.2500 0.9672 0.7172  2 Co 1.94, 4 Li 2.02-2.04
N 0.7500 0.5328 0.7828  2 Co 1.94, 4 Li 2.02-2.04


(5)
This record from the Alexandria database describes a relaxed structure of LaCuP2S. The functional is PBE.

Summary:
Total DFT energy (no corrections): -3.909 eV per atom
Crystal system: tetragonal
Energy above the most stable polymorph in this dataset: 1307 meV/atom
Spin magnetization: 1.614 μB/f.u.
SG: P4/mmm (123)
Formation energy from raw total energies: 0.885 eV/atom
V: 170.6 Å³/cell

a b c (Å): 5.6060 5.6060 5.4284
angles (deg): 90.00 90.00 90.00
Closest atoms and distances in Å follow each position.
Fractional positions:
P 0.0000 0.5000 0.0000  2 La 2.80
P 0.5000 0.0000 0.0000  2 La 2.80
S 0.0000 0.0000 0.5000  2 La 2.71
Cu 0.5000 0.5000 0.5000  8 P 3.90, 4 S 3.96
La 0.0000 0.0000 0.0000  2 S 2.71, 4 P 2.80


(6)
This record from the Alexandria database describes a relaxed structure of Rb2LaTlI6. The functional is PBE.

Summary:
Total DFT energy (no corrections): -3.209 eV per atom
Crystal system: monoclinic
Energy above the most stable polymorph in this dataset: 0 meV/atom
Spin magnetization: 0.000 μB/f.u.
SG: P2_1/c (14)
Formation energy from raw total energies: -1.356 eV/atom
V: 1005.9 Å³/cell

a b c (Å): 8.6243 9.3153 12.5236
angles (deg): 90.00 88.73 90.00
Closest atoms and distances in Å follow each position.
Fractional positions:
Rb 0.0367 0.9105 0.2531  6 I 3.72-3.94
Rb 0.5367 0.5895 0.7531  6 I 3.72-3.94
Rb 0.9633 0.0895 0.7469  6 I 3.72-3.94
Rb 0.4633 0.4105 0.2469  6 I 3.72-3.94
La 0.5000 0.0000 0.5000  6 I 3.18-3.19
La 0.0000 0.5000 0.0000  6 I 3.18-3.19
Tl 0.5000 0.0000 0.0000  6 I 3.51-3.54
Tl 0.0000 0.5000 0.5000  6 I 3.51-3.54
I 0.3001 0.6797 0.0583  1 La 3.18, 1 Tl 3.51
I 0.8001 0.8203 0.5583  1 La 3.18, 1 Tl 3.51
I 0.6999 0.3203 0.9417  1 La 3.18, 1 Tl 3.51
I 0.1999 0.1797 0.4417  1 La 3.18, 1 Tl 3.51
I 0.3301 0.7098 0.4341  1 La 3.19, 1 Tl 3.54
I 0.8301 0.7902 0.9341  1 La 3.19, 1 Tl 3.54
I 0.6699 0.2902 0.5659  1 La 3.19, 1 Tl 3.54
I 0.1699 0.2098 0.0659  1 La 3.19, 1 Tl 3.54
I 0.8722 0.5416 0.2380  1 La 3.18, 1 Tl 3.51
I 0.3722 0.9584 0.7380  1 La 3.18, 1 Tl 3.51
I 0.1278 0.4584 0.7620  1 La 3.18, 1 Tl 3.51
I 0.6278 0.0416 0.2620  1 La 3.18, 1 Tl 3.51


(7)
This record from the Alexandria database describes a relaxed structure of MgNiAuSe. The functional is PBE.

Summary:
Total DFT energy (no corrections): -3.811 eV per atom
Crystal system: monoclinic
Energy above the most stable polymorph in this dataset: 74 meV/atom
Spin magnetization: 0.000 μB/f.u.
SG: Pm (6)
Formation energy from raw total energies: -0.276 eV/atom
V: 70.6 Å³/cell

a b c (Å): 3.8315 4.7804 3.8531
angles (deg): 90.00 90.29 90.00
Closest atoms and distances in Å follow each position.
Fractional positions:
Mg 0.7886 0.5000 0.5921  4 Se 2.58-2.88, 2 Au 2.62
Ni 0.0290 0.0000 0.1133  2 Se 2.52, 4 Au 2.67-2.77
Au 0.5121 0.0000 0.6150  2 Mg 2.62, 4 Ni 2.67-2.77
Se 0.2378 0.5000 0.0969  2 Ni 2.52, 2 Mg 2.58-2.59


(8)
This record from the Alexandria database describes a relaxed structure of SrUFeN3. The functional is PBE.

Summary:
Total DFT energy (no corrections): -8.602 eV per atom
Crystal system: monoclinic
Spin magnetization: 0.000 μB/f.u.
SG: P2_1/m (11)
Formation energy from raw total energies: -0.867 eV/atom
V: 186.7 Å³/cell

a b c (Å): 3.4692 7.3333 7.4924
angles (deg): 101.60 90.00 90.00
Closest atoms and distances in Å follow each position.
Fractional positions:
Sr 0.7500 0.8205 0.7877  3 N 2.61-2.78
Sr 0.2500 0.1795 0.2123  3 N 2.61-2.78
U 0.2500 0.6610 0.1696  6 N 2.25-2.30
U 0.7500 0.3390 0.8304  6 N 2.25-2.30
Fe 0.2500 0.0724 0.5995  4 N 1.86-1.96
Fe 0.7500 0.9276 0.4005  4 N 1.86-1.96
N 0.2500 0.8322 0.4601  3 Fe 1.86-1.96
N 0.7500 0.8480 0.1410  1 Fe 1.91
N 0.7500 0.4498 0.1352  3 U 2.27-2.30
N 0.7500 0.1678 0.5399  3 Fe 1.86-1.96
N 0.2500 0.5502 0.8648  3 U 2.27-2.30
N 0.2500 0.1520 0.8590  1 Fe 1.91


(9)
This record from the Alexandria database describes a relaxed structure of Sc2RuCl. The functional is PBE.

Summary:
Total DFT energy (no corrections): -6.230 eV per atom
Crystal system: orthorhombic
Energy above the most stable polymorph in this dataset: 708 meV/atom
Spin magnetization: 0.000 μB/f.u.
SG: Cmm2 (35)
Formation energy from raw total energies: -0.284 eV/atom
V: 86.9 Å³/cell

a b c (Å): 3.1374 3.1374 9.5903
angles (deg): 90.00 90.00 112.95
Closest atoms and distances in Å follow each position.
Fractional positions:
Cl 0.0000 0.0000 0.4519  2 Sc 2.49
Ru 0.5000 0.5000 0.7988  2 Sc 2.48
Sc 0.0000 0.0000 0.9838  2 Ru 2.48
Sc 0.5000 0.5000 0.2655  2 Cl 2.49